1.
Sc2AlCuH | PBE | optimized geometry

The structure in POSCAR format:
```
Sc2AlCuH
1.0
4.516 0.000 0.000
0.000 4.516 0.000
0.000 0.000 3.672
Sc H Al Cu
2 1 1 1
direct
0.000 0.500 0.000
0.500 0.000 0.000
0.000 0.000 0.000
0.500 0.500 0.500
0.000 0.000 0.500
```

For the total magnetization, the calculation gives 0.058 μB/atom. The space group is P4/mmm.

2.
SrAlCuH6 | PBE | optimized geometry

The structure in POSCAR format:
```
SrAlCuH6
1.0
4.751 0.000 0.000
2.376 4.115 0.000
0.000 0.000 5.062
Sr Al Cu H
1 1 1 6
direct
0.000 0.000 0.000
0.333 0.333 0.500
0.667 0.667 0.500
0.010 0.381 0.297
0.381 0.010 0.703
0.609 0.381 0.703
0.010 0.609 0.703
0.381 0.609 0.297
0.609 0.010 0.297
```

For the total magnetization, the calculation gives 0.000 μB/atom. The space group is P312.

3.
Al2CuTcH | PBE | optimized geometry

The structure in POSCAR format:
```
Al2CuTcH
1.0
-2.461 2.777 1.940
-3.334 -1.561 -1.996
-0.481 -2.177 2.506
H Tc Cu Al
1 1 1 2
direct
0.000 0.000 0.000
0.000 0.000 0.500
0.500 0.500 0.500
0.000 0.500 0.000
0.500 0.000 0.000
```

For the total magnetization, the calculation gives 0.000 μB/atom. The space group is P4/mmm.

no.,VASP energy (eV per atom)
1,-5.14
2,-3.44
3,-5.15